# 1
# CsSnPt

An optimized crystal structure of CsSnPt (PBE-GGA, Alexandria via LeMat-Bulk).

Cell: 6.136 4.532 4.532 Å, 120.00 90.00 90.00°
Atoms (fractional coordinates):
Cs 0.666 0.333 0.667
Sn 0.166 0.000 0.000
Pt 0.167 0.667 0.333

N(E_F) = 2.9 states/eV/f.u.
Volume = 109.1 Å³ per cell
Size of the total moment = 0.0 μB per formula unit
VASP energy = -11.72 eV/f.u.
ΔE to the lowest computed polymorph = 0.175 eV per atom

# 2
# CsSn2Pt2

An optimized crystal structure of CsSn2Pt2 (PBE-GGA, Alexandria via LeMat-Bulk).

Cell: 8.830 8.830 3.289 Å, 90.00 90.00 90.00°
Atoms (fractional coordinates):
Pt 0.125 0.375 0.000
Pt 0.375 0.875 0.000
Pt 0.875 0.625 0.000
Pt 0.625 0.125 0.000
Sn 0.366 0.134 0.500
Sn 0.866 0.366 0.500
Sn 0.134 0.634 0.500
Sn 0.634 0.866 0.500
Cs 0.500 0.500 0.000
Cs 0.000 0.000 0.000

N(E_F) = 1.8 states/eV/f.u.
Volume = 256.4 Å³ per cell
Size of the total moment = 0.0 μB per formula unit
VASP energy = -21.58 eV/f.u.
ΔE to the lowest computed polymorph = 0.282 eV per atom

# 3
# CsSn2Pt2

An optimized crystal structure of CsSn2Pt2 (PBE-GGA, Alexandria via LeMat-Bulk).

Cell: 4.501 4.501 8.149 Å, 73.97 73.97 90.00°
Atoms (fractional coordinates):
Sn 0.346 0.346 0.307
Sn 0.654 0.654 0.693
Cs 0.000 0.000 0.000
Pt 0.750 0.250 0.500
Pt 0.250 0.750 0.500

N(E_F) = 2.4 states/eV/f.u.
Volume = 152.0 Å³ per cell
Size of the total moment = 0.0 μB per formula unit
VASP energy = -22.99 eV/f.u.
ΔE to the lowest computed polymorph = 0.000 eV per atom

# 4
# CsSn2Pt

An optimized crystal structure of CsSn2Pt (PBE-GGA, Alexandria via LeMat-Bulk).

Cell: 6.200 6.200 9.471 Å, 70.89 70.89 90.00°
Atoms (fractional coordinates):
Sn 0.375 0.126 0.750
Sn 0.876 0.625 0.250
Sn 0.874 0.125 0.250
Sn 0.875 0.124 0.750
Cs 0.500 0.500 0.000
Cs 0.250 0.750 0.500
Pt 0.000 0.000 0.000
Pt 0.750 0.250 0.500

N(E_F) = 2.1 states/eV/f.u.
Volume = 322.7 Å³ per cell
Size of the total moment = 0.0 μB per formula unit
VASP energy = -15.55 eV/f.u.